Entry 1:
Sr3Cr5Te12 | PBE | optimized geometry

Values from the calculation:
Magnetization: 11.98 μB/f.u.
Uncorrected formation energy: -0.4546 eV per atom

a b c (Å): 14.9497 14.9497 14.9497
angles (deg): 109.47 109.47 109.47
Site moments in Bohr magnetons follow the coordinates.
Atoms (fractional coordinates):
Te 0.9800 0.5883 0.1817  -0.20
Te 0.0883 0.9066 0.1083  -0.20
Te 0.2983 0.4066 0.8183  -0.20
Te 0.6817 0.2017 0.5934  -0.20
Te 0.8183 0.9066 0.2983  -0.20
Te 0.4800 0.7983 0.8917  -0.20
Te 0.2017 0.6817 0.0934  -0.20
Te 0.5200 0.3183 0.9117  -0.20
Te 0.5934 0.8917 0.4117  -0.20
Te 0.3917 0.4117 0.0934  -0.20
Te 0.3183 0.7983 0.4066  -0.20
Te 0.5883 0.6083 0.4066  -0.20
Te 0.6083 0.0200 0.2017  -0.20
Te 0.5883 0.9800 0.6817  -0.20
Te 0.9800 0.3917 0.2983  -0.20
Te 0.4800 0.6817 0.0883  -0.20
Te 0.9117 0.0934 0.8917  -0.20
Te 0.7017 0.5934 0.1817  -0.20
Te 0.3917 0.9800 0.7983  -0.20
Te 0.6083 0.5883 0.9066  -0.20
Te 0.4117 0.3917 0.5934  -0.20
Te 0.0934 0.9117 0.3917  -0.20
Te 0.2983 0.8917 0.9800  -0.20
Te 0.0200 0.4117 0.8183  -0.20
Te 0.4117 0.0200 0.3183  -0.20
Te 0.4066 0.2983 0.3183  -0.20
Te 0.0883 0.1817 0.4800  -0.20
Te 0.6817 0.4800 0.5883  -0.20
Te 0.9066 0.8183 0.7983  -0.20
Te 0.4066 0.1083 0.5883  -0.20
Te 0.1817 0.0934 0.7017  -0.20
Te 0.5934 0.7017 0.6817  -0.20
Te 0.2017 0.5200 0.6083  -0.20
Te 0.9117 0.8183 0.5200  -0.20
Te 0.3183 0.5200 0.4117  -0.20
Te 0.1083 0.7017 0.5200  -0.20
Te 0.0934 0.1817 0.2017  -0.20
Te 0.8183 0.9117 0.0200  -0.20
Te 0.0200 0.6083 0.7017  -0.20
Te 0.9066 0.0883 0.6083  -0.20
Te 0.5200 0.2017 0.1083  -0.20
Te 0.8917 0.5934 0.9117  -0.20
Te 0.8917 0.2983 0.4800  -0.20
Te 0.1817 0.0883 0.9800  -0.20
Te 0.7983 0.4800 0.3917  -0.20
Te 0.7983 0.3183 0.9066  -0.20
Te 0.7017 0.1083 0.0200  -0.20
Te 0.1083 0.4066 0.0883  -0.20
Cr 0.0000 0.5000 0.0000  3.11
Cr 0.2500 0.8750 0.1250  2.72
Cr 0.8750 0.6250 0.7500  2.72
Cr 0.3750 0.1250 0.7500  2.72
Cr 0.1250 0.7500 0.3750  2.72
Cr 0.5000 0.0000 0.0000  3.11
Cr 0.5000 0.5000 0.5000  3.11
Cr 0.3750 0.2500 0.1250  2.72
Cr 0.5000 0.0000 0.5000  3.11
Cr 0.8750 0.2500 0.6250  2.72
Cr 0.0000 0.0000 0.5000  3.11
Cr 0.7500 0.6250 0.3750  2.72
Cr 0.2500 0.3750 0.6250  2.72
Cr 0.1250 0.3750 0.2500  2.72
Cr 0.6250 0.8750 0.2500  2.72
Cr 0.5000 0.5000 0.0000  3.11
Cr 0.7500 0.1250 0.8750  2.72
Cr 0.0000 0.5000 0.5000  3.11
Cr 0.0000 0.0000 0.0000  3.11
Cr 0.6250 0.7500 0.8750  2.72
Sr 0.1250 0.2500 0.8750  -0.01
Sr 0.7500 0.8750 0.6250  -0.01
Sr 0.7500 0.3750 0.1250  -0.01
Sr 0.8750 0.7500 0.1250  -0.01
Sr 0.6250 0.2500 0.3750  -0.01
Sr 0.6250 0.3750 0.7500  -0.01
Sr 0.8750 0.1250 0.2500  -0.01
Sr 0.3750 0.7500 0.6250  -0.01
Sr 0.1250 0.8750 0.7500  -0.01
Sr 0.2500 0.1250 0.3750  -0.01
Sr 0.3750 0.6250 0.2500  -0.01
Sr 0.2500 0.6250 0.8750  -0.01



Entry 2:
Tl6SbPb12 | PBE | optimized geometry

Values from the calculation:
Magnetization: 0.00 μB/f.u.
Uncorrected formation energy: 0.0638 eV per atom

a b c (Å): 9.0425 9.0425 9.0425
angles (deg): 106.23 106.23 106.23
Atoms (fractional coordinates):
Tl 0.1938 0.4656 0.0783
Tl 0.5344 0.9217 0.8062
Tl 0.4656 0.0783 0.1938
Tl 0.8062 0.5344 0.9217
Tl 0.0783 0.1938 0.4656
Tl 0.9217 0.8062 0.5344
Pb 0.1888 0.5894 0.4787
Pb 0.8608 0.1510 0.7259
Pb 0.8490 0.2741 0.1392
Pb 0.1392 0.8490 0.2741
Pb 0.1510 0.7259 0.8608
Pb 0.2741 0.1392 0.8490
Pb 0.5213 0.8112 0.4106
Pb 0.8112 0.4106 0.5213
Pb 0.5894 0.4787 0.1888
Pb 0.7259 0.8608 0.1510
Pb 0.4787 0.1888 0.5894
Pb 0.4106 0.5213 0.8112
Sb 0.0000 0.0000 0.0000



Entry 3:
MnZn2In | PBE | optimized geometry

Values from the calculation:
Magnetization: 3.23 μB/f.u.
Energy relative to the elements: 0.168 eV/atom

a b c (Å): 4.8534 4.8534 3.0631
angles (deg): 90.00 90.00 110.24
Site moments in Bohr magnetons follow the coordinates.
Atoms (fractional coordinates):
Mn 0.0000 0.5000 0.5000  3.37
Zn 0.5000 0.5000 0.0000  -0.07
Zn 0.0000 0.0000 0.0000  -0.07
In 0.5000 0.0000 0.5000  -0.05



Entry 4:
Si2HgGe | PBE | optimized geometry

Values from the calculation:
Magnetization: 0.00 μB/f.u.
Uncorrected formation energy: 0.3871 eV per atom
E above lowest polymorph: 0.000 eV/atom

a b c (Å): 5.9402 5.9402 6.8715
angles (deg): 64.39 64.39 90.00
Atoms (fractional coordinates):
Si 0.8750 0.8524 0.7500
Si 0.3750 0.3976 0.7500
Si 0.6024 0.1250 0.2500
Si 0.1476 0.6250 0.2500
Hg 0.0000 0.0000 0.0000
Hg 0.7500 0.2500 0.5000
Ge 0.5000 0.5000 0.0000
Ge 0.2500 0.7500 0.5000



What is the formula in the second record?
Tl6SbPb12



magnetization of number 2 (Tl6SbPb12)?
0.00 μB/f.u.



Which formula does entry 2 have?
Tl6SbPb12



The highest magnetization belongs to which entry?
Sr3Cr5Te12